Density functional theory data (PBE) for crystalline Sr3Pm3HoS8 at its relaxed geometry.

Cell: 8.358 8.358 8.358 Å, 58.38 58.38 58.38°
Atoms (fractional coordinates):
Sr  0.000  0.500  0.500
Sr  0.500  0.000  0.500
Sr  0.500  0.500  0.000
Pm  0.000  0.000  0.500
Pm  0.000  0.500  0.000
Pm  0.500  0.000  0.000
Ho  0.500  0.500  0.500
S  0.246  0.246  0.246
S  0.252  0.737  0.737
S  0.263  0.263  0.748
S  0.263  0.748  0.263
S  0.737  0.252  0.737
S  0.737  0.737  0.252
S  0.748  0.263  0.263
S  0.754  0.754  0.754

Values from the calculation:
E_form (uncorrected): -31.28 eV/f.u.
SG: R-3m (166)
E: -88.18 eV per cell



Density functional theory data (PBE) for crystalline Hf2IrRuPt at its relaxed geometry.

Cell: 4.872 4.872 4.605 Å, 90.00 90.00 90.00°
Atoms (fractional coordinates):
Hf  0.000  0.500  0.000
Hf  0.500  0.000  0.000
Ir  0.000  0.000  0.500
Ru  0.000  0.000  0.000
Pt  0.500  0.500  0.500

Values from the calculation:
Calculated formation energy: 0.5929 eV/atom
SG: P4/mmm (123)
E: -41.12 eV per cell



Density functional theory data (PBE) for crystalline YTmTh5 at its relaxed geometry.

Cell: 6.160 6.162 12.364 Å, 99.51 100.02 99.41°
Atoms (fractional coordinates):
Y  0.217  0.359  0.216
Y  0.783  0.641  0.784
Tm  0.500  0.500  0.000
Tm  0.500  0.500  0.500
Th  0.071  0.783  0.570
Th  0.072  0.787  0.071
Th  0.215  0.357  0.715
Th  0.356  0.930  0.857
Th  0.356  0.931  0.359
Th  0.644  0.069  0.641
Th  0.644  0.070  0.143
Th  0.785  0.643  0.285
Th  0.928  0.213  0.929
Th  0.929  0.217  0.430

Values from the calculation:
Calculated formation energy: 0.0423 eV/atom
SG: P-1 (2)
E: -95.48 eV per cell



> Among the records above, which one has the lowest E?

YTmTh5



Please write out number 2 again, unchanged.
Density functional theory data (PBE) for crystalline Hf2IrRuPt at its relaxed geometry.

Cell: 4.872 4.872 4.605 Å, 90.00 90.00 90.00°
Atoms (fractional coordinates):
Hf  0.000  0.500  0.000
Hf  0.500  0.000  0.000
Ir  0.000  0.000  0.500
Ru  0.000  0.000  0.000
Pt  0.500  0.500  0.500

Values from the calculation:
Calculated formation energy: 0.5929 eV/atom
SG: P4/mmm (123)
E: -41.12 eV per cell



> Which value of E does entry 3 give?

-95.48 eV per cell



> Which formula does entry 3 have?

YTmTh5